# 1
Density functional theory data (PBE) for a geometry-optimized CrCo2Ru structure. Values from VASP.

The structure in Quantum ESPRESSO input format:
```
&SYSTEM
  ibrav = 0, nat = 4, ntyp = 3
/
ATOMIC_SPECIES
Cr 52.00 Cr.upf
Co 58.93 Co.upf
Ru 101.07 Ru.upf
CELL_PARAMETERS angstrom
-1.778 1.778 3.662
1.778 -1.778 3.662
1.778 1.778 -3.662
ATOMIC_POSITIONS crystal
Cr 0.000 0.000 0.000
Co 0.250 0.750 0.500
Co 0.750 0.250 0.500
Ru 0.500 0.500 0.000
```

Summary:
Magnetization (μB per formula unit): 0.44
Space group: I4/mmm (139)
Offset from the most stable computed form (eV per formula unit): 0.069
DFT formation energy (eV per formula unit): 0.275



# 2
Density functional theory data (PBE) for a geometry-optimized Rb2In7Hg structure. Values from VASP.

The structure in Quantum ESPRESSO input format:
```
&SYSTEM
  ibrav = 0, nat = 10, ntyp = 3
/
ATOMIC_SPECIES
Rb 85.47 Rb.upf
In 114.82 In.upf
Hg 200.59 Hg.upf
CELL_PARAMETERS angstrom
5.126 0.000 0.000
0.000 5.126 0.000
0.000 0.000 12.401
ATOMIC_POSITIONS crystal
Rb 0.000 0.500 0.247
Rb 0.500 0.000 0.753
In 0.000 0.000 0.000
In 0.000 0.000 0.500
In 0.000 0.500 0.633
In 0.000 0.500 0.871
In 0.500 0.000 0.129
In 0.500 0.000 0.367
In 0.500 0.500 0.500
Hg 0.500 0.500 0.000
```

Summary:
Magnetization (μB per formula unit): 0.00
Space group: P-4m2 (115)
DFT formation energy (eV per formula unit): -1.152